(1)
ZrTcOs: relaxed, PBE.

abc: 4.363 4.363 4.363
angles: 60.00 60.00 60.00
Fractional positions:
Os (0.250, 0.250, 0.250)
Tc (0.750, 0.750, 0.750)
Zr (0.000, 0.000, 0.000)

Values from the calculation:
total moment = 0.01 Bohr magnetons per cell
energy relative to the lowest polymorph listed for this composition = 685 meV/atom
ΔH_f (0 K) = 0.966 eV/atom
calculated total energy = -9.078 eV per atom

***

(2)
TeOs2: relaxed, PBE.

abc: 5.345 5.345 5.345
angles: 60.00 60.00 60.00
Fractional positions:
Os (0.625, 0.625, 0.125)
Os (0.625, 0.125, 0.625)
Os (0.125, 0.625, 0.625)
Os (0.625, 0.625, 0.625)
Te (0.000, 0.000, 0.000)
Te (0.250, 0.250, 0.250)

Values from the calculation:
total moment = 0.05 Bohr magnetons per cell
energy relative to the lowest polymorph listed for this composition = 0 meV/atom
calculated total energy = -7.354 eV per atom

***

(3)
TeOs: relaxed, PBE.

abc: 4.162 4.162 4.162
angles: 60.00 60.00 60.00
Fractional positions:
Os (0.000, 0.000, 0.000)
Te (0.250, 0.250, 0.250)

Values from the calculation:
total moment = 0.00 Bohr magnetons per cell
calculated total energy = -6.357 eV per atom

***

(4)
TeOs: relaxed, PBE.

abc: 3.293 3.293 4.074
angles: 90.00 90.00 120.00
Fractional positions:
Os (0.667, 0.333, 0.750)
Te (0.333, 0.667, 0.250)

Values from the calculation:
total moment = 0.00 Bohr magnetons per cell
calculated total energy = -6.102 eV per atom

***

(5)
TeOs2: relaxed, PBE.

abc: 8.354 8.354 8.354
angles: 60.00 60.00 60.00
Each line ends with the local moment (μB).
Fractional positions:
Os (0.375, 0.375, 0.375)  2.46
Os (0.875, 0.375, 0.375)  2.62
Os (0.375, 0.875, 0.375)  2.45
Os (0.375, 0.375, 0.875)  2.42
Te (0.250, 0.250, 0.250)  0.06
Te (0.500, 0.500, 0.500)  0.06

Values from the calculation:
total moment = 12.00 Bohr magnetons per cell
energy relative to the lowest polymorph listed for this composition = 2310 meV/atom
calculated total energy = -5.043 eV per atom

***

(6)
TeOs: relaxed, PBE.

abc: 3.855 3.855 3.855
angles: 60.00 60.00 60.00
Fractional positions:
Os (0.000, 0.000, 0.000)
Te (0.500, 0.500, 0.500)

Values from the calculation:
total moment = 0.00 Bohr magnetons per cell
calculated total energy = -6.127 eV per atom